(a)
# PBE AgSnAu, relaxed
data_AgSnAu
_chemical_formula_sum 'Ag4 Sn4 Au4'
_cell_length_a 6.965
_cell_length_b 4.098
_cell_length_c 8.575
_cell_angle_alpha 90.00
_cell_angle_beta 90.00
_cell_angle_gamma 90.00
_space_group_name_H-M_alt 'P n m a'
_space_group_IT_number 62
loop_
_space_group_symop_operation_xyz
'x,y,z'
'-x,-y,-z'
'-x+1/2,-y,z+1/2'
'x+1/2,y,-z+1/2'
'x+1/2,-y+1/2,-z+1/2'
'-x+1/2,y+1/2,z+1/2'
'-x,y+1/2,-z'
'x,-y+1/2,z'
loop_
_atom_site_label
_atom_site_type_symbol
_atom_site_fract_x
_atom_site_fract_y
_atom_site_fract_z
_atom_site_occupancy
Ag1 Ag 0.101 0.250 0.247 1
Sn1 Sn 0.166 0.250 0.918 1
Au1 Au 0.124 0.250 0.588 1
# crystal system: orthorhombic
# calculated volume: 244.8 Å³/cell

(b)
# PBE AgSnAu, relaxed
data_AgSnAu
_chemical_formula_sum 'Ag4 Sn4 Au4'
_cell_length_a 6.516
_cell_length_b 6.516
_cell_length_c 6.516
_cell_angle_alpha 90.00
_cell_angle_beta 90.00
_cell_angle_gamma 90.00
_space_group_name_H-M_alt 'F -4 3 m'
_space_group_IT_number 216
_space_group_name_Hall 'F -4 2 3'
loop_
_atom_site_label
_atom_site_type_symbol
_atom_site_fract_x
_atom_site_fract_y
_atom_site_fract_z
_atom_site_occupancy
Ag1 Ag 0.000 0.000 0.000 1
Sn1 Sn 0.250 0.250 0.250 1
Au1 Au 0.000 0.000 0.500 1
# crystal system: cubic
# calculated volume: 276.7 Å³/cell

Most stable structure among those shown: (a). Next: +5.7 kJ/mol of atoms.